No. 1
# CuO2F2 GGA-PBE optimized geometry
# density: 3.869 g cm⁻³
# volume: 11.46 A^3/atom
# formation energy from raw total energies: 0.83 eV per atom
# total moment: 0.334 μB/atom
data_CuO2F2
_cell_length_a 3.4558
_cell_length_b 3.4558
_cell_length_c 4.7994
_cell_angle_alpha 90.00
_cell_angle_beta 90.00
_cell_angle_gamma 90.00
_symmetry_space_group_name_H-M 'P 4/m m m'
_symmetry_Int_Tables_number 123
_symmetry_space_group_name_Hall '-P 4 2'
loop_
_atom_site_label
_atom_site_fract_x
_atom_site_fract_y
_atom_site_fract_z
Cu1 0.0000 0.0000 0.0000
O1 0.0000 0.5000 0.5000
F1 0.5000 0.5000 0.0000
F2 0.5000 0.5000 0.5000

***

No. 2
# Zr3CoHg GGA-PBE optimized geometry
# density: 8.543 g cm⁻³
# distance to the lowest polymorph of the same formula: 0.0000 eV/atom
# volume: 20.73 A^3/atom
# total moment: 0.000 μB/atom
data_Zr3CoHg
_cell_length_a 14.7077
_cell_length_b 3.4052
_cell_length_c 10.1872
_cell_angle_alpha 90.00
_cell_angle_beta 125.65
_cell_angle_gamma 90.00
_symmetry_space_group_name_H-M 'C 1 2/m 1'
_symmetry_Int_Tables_number 12
loop_
_symmetry_equiv_pos_as_xyz
'x,y,z'
'-x,-y,-z'
'-x,y,-z'
'x,-y,z'
'x+1/2,y+1/2,z'
'-x+1/2,-y+1/2,-z'
'-x+1/2,y+1/2,-z'
'x+1/2,-y+1/2,z'
loop_
_atom_site_label
_atom_site_fract_x
_atom_site_fract_y
_atom_site_fract_z
Zr1 0.0729 0.0000 0.4418
Zr2 0.1358 0.5000 0.2233
Zr3 0.1643 0.5000 0.7672
Co1 0.2321 0.5000 0.5717
Hg1 0.0864 0.0000 0.9348

***

No. 3
# Cd3RuO6 GGA-PBE optimized geometry
# density: 6.878 g cm⁻³
# volume: 12.90 A^3/atom
# formation energy from raw total energies: -0.89 eV per atom
# total moment: 0.202 μB/atom
data_Cd3RuO6
_cell_length_a 5.5942
_cell_length_b 5.6828
_cell_length_c 9.7983
_cell_angle_alpha 90.00
_cell_angle_beta 124.08
_cell_angle_gamma 90.00
_symmetry_space_group_name_H-M 'P 1 21/c 1'
_symmetry_Int_Tables_number 14
loop_
_symmetry_equiv_pos_as_xyz
'x,y,z'
'-x,-y,-z'
'-x,y+1/2,-z+1/2'
'x,-y+1/2,z+1/2'
loop_
_atom_site_label
_atom_site_fract_x
_atom_site_fract_y
_atom_site_fract_z
Cd1 0.0000 0.0000 0.0000
Cd2 0.2413 0.0423 0.7430
Ru1 0.5000 0.0000 0.5000
O1 0.1650 0.0757 0.2735
O2 0.2503 0.6624 0.0462
O3 0.4234 0.2122 0.0746

***

Q: Which value of volume does entry 1 give?
A: 11.46 A^3/atom